Mg2ClF: relaxed, PBE.

Properties
D(E_F) (states/eV per atom): 0.29
Excess energy over the best structure of this formula in the dataset (meV/atom): 0.0

Cell: 6.848 6.848 6.848 Å, 131.89 131.89 70.41°
Fractional coordinates of all 8 atoms:
Mg (0.040, 0.625, 0.915)
Mg (0.375, 0.290, 0.415)
Mg (0.710, 0.125, 0.085)
Mg (0.875, 0.960, 0.585)
Cl (0.250, 0.750, 0.500)
Cl (0.500, 0.500, 0.000)
F (0.000, 0.000, 0.000)
F (0.750, 0.250, 0.500)

Zn2InAu7: relaxed, PBE.

Properties
DFT formation energy (eV/atom): 0.03
D(E_F) (states/eV per atom): 0.38

Cell: 7.513 7.513 4.612 Å, 90.00 90.00 120.27°
Fractional coordinates of all 10 atoms:
Zn (0.201, 0.799, 0.000)
Zn (0.799, 0.201, 0.000)
In (0.500, 0.500, 0.500)
Au (0.000, 0.000, 0.000)
Au (0.199, 0.426, 0.000)
Au (0.289, 0.711, 0.500)
Au (0.426, 0.199, 0.000)
Au (0.574, 0.801, 0.000)
Au (0.711, 0.289, 0.500)
Au (0.801, 0.574, 0.000)

Li4Pa3TcN8: relaxed, PBE.

Properties
D(E_F) (states/eV per atom): 0.30

Cell: 6.435 6.435 6.435 Å, 64.06 64.06 64.06°
Fractional coordinates of all 16 atoms:
Li (0.000, 0.000, 0.000)
Li (0.000, 0.500, 0.500)
Li (0.500, 0.000, 0.500)
Li (0.500, 0.500, 0.000)
Pa (0.000, 0.000, 0.500)
Pa (0.000, 0.500, 0.000)
Pa (0.500, 0.000, 0.000)
Tc (0.500, 0.500, 0.500)
N (0.239, 0.239, 0.239)
N (0.253, 0.730, 0.730)
N (0.270, 0.270, 0.747)
N (0.270, 0.747, 0.270)
N (0.730, 0.253, 0.730)
N (0.730, 0.730, 0.253)
N (0.747, 0.270, 0.270)
N (0.761, 0.761, 0.761)

NaBe2RuI: relaxed, PBE.

Properties
D(E_F) (states/eV per atom): 0.72

Cell: 4.425 4.425 5.202 Å, 90.00 90.00 90.00°
Fractional coordinates of all 5 atoms:
Na (0.000, 0.000, 0.000)
Be (0.000, 0.500, 0.000)
Be (0.500, 0.000, 0.000)
Ru (0.500, 0.500, 0.500)
I (0.000, 0.000, 0.500)

| no. | total DFT energy (no corrections) (hartree per atom) | calculated density (g/cm³) |
| --- | --- | --- |
| 1 | -0.115 | 2.0 |
| 2 | -0.103 | 12.0 |
| 3 | -0.294 | 7.5 |
| 4 | -0.070 | 4.4 |